Crystalline BaAgTe2Ir at its relaxed geometry, computed with PBE.

Results
Formation energy without anion corrections, eV per formula unit: -1.7
Calculated volume, Å³/f.u.: 149
Space group: No. 123
Mass density, Mg/m³: 7.7
D(E_F), states/eV/cell: 4.05

Cell lengths 5.3604, 5.3604, 5.2011 Å; angles 90.00, 90.00, 90.00 degrees
Atoms (fractional coordinates):
Ba  0.0000  0.0000  0.0000
Ag  0.5000  0.5000  0.0000
Te  0.0000  0.5000  0.5000
Te  0.5000  0.0000  0.5000
Ir  0.5000  0.5000  0.5000